No. 1
First-principles (PBE-GGA) data for an optimized crystal structure of Cs2CeB2S6, as listed in the Alexandria database.

a b c (Å): 12.021 6.861 8.590
angles (deg): 90.00 117.04 90.00
Space group C2/m (No. 12)
Unique sites:
Cs 0.209 0.000 0.166 x4
Ce 0.000 0.000 0.500 x2
B 0.084 0.500 0.299 x4
S 0.003 0.272 0.737 x8
S 0.246 0.500 0.343 x4

## Properties
As for the calculated volume: 28.7 Å³/atom. Its crystal system is monoclinic. The energy relative to the elements, uncorrected comes out at -24.09 kcal/mol of atoms.

No. 2
First-principles (PBE-GGA) data for an optimized crystal structure of Cs2CeB2Se6, as listed in the Alexandria database.

a b c (Å): 12.619 7.208 8.987
angles (deg): 90.00 118.01 90.00
Space group C2/m (No. 12)
Unique sites:
Cs 0.207 0.000 0.180 x4
Ce 0.000 0.000 0.500 x2
B 0.077 0.500 0.297 x4
Se 0.015 0.268 0.750 x8
Se 0.247 0.500 0.355 x4

## Properties
As for the calculated volume: 32.8 Å³/atom. Its crystal system is monoclinic. The energy relative to the elements, uncorrected comes out at -19.17 kcal/mol of atoms.

No. 3
First-principles (PBE-GGA) data for an optimized crystal structure of Ce2CuB2Ir5, as listed in the Alexandria database.

a b c (Å): 9.427 9.427 3.351
angles (deg): 90.00 90.00 90.00
Space group P4/mbm (No. 127)
Unique sites:
Ce 0.178 0.322 0.000 x4
Cu 0.000 0.000 0.000 x2
B 0.122 0.622 0.000 x4
Ir 0.000 0.500 0.500 x2
Ir 0.070 0.782 0.500 x8

## Properties
As for the calculated volume: 14.9 Å³/atom. The value obtained for the formation enthalpy at 0 K is -0.514 eV/atom. Its crystal system is tetragonal.

No. 4
First-principles (PBE-GGA) data for an optimized crystal structure of Ce2CuBRh6, as listed in the Alexandria database.

a b c (Å): 9.538 5.767 6.705
angles (deg): 90.00 114.86 90.00
Space group C2/m (No. 12)
Unique sites:
Ce 0.240 0.000 0.177 x4
Cu 0.000 0.500 0.000 x2
B 0.000 0.000 0.500 x2
Rh 0.075 0.262 0.354 x8
Rh 0.214 0.000 0.757 x4

## Properties
As for the calculated volume: 16.7 Å³/atom. The value obtained for the formation enthalpy at 0 K is -0.479 eV/atom. Its crystal system is monoclinic.

No. 5
First-principles (PBE-GGA) data for an optimized crystal structure of Ce4CuB3Rh12, as listed in the Alexandria database.

a b c (Å): 8.619 8.619 8.619
angles (deg): 90.00 90.00 90.00
Space group Im-3m (No. 229)
Unique sites:
Ce 0.250 0.250 0.250 x8
Cu 0.000 0.000 0.000 x2
B 0.000 0.000 0.500 x6
Rh 0.000 0.000 0.272 x12
Rh 0.000 0.250 0.500 x12

## Properties
As for the calculated volume: 16.0 Å³/atom. The value obtained for the formation enthalpy at 0 K is -0.597 eV/atom. Its crystal system is cubic.

No. 6
First-principles (PBE-GGA) data for an optimized crystal structure of Ce2CuB2Ru5, as listed in the Alexandria database.

a b c (Å): 9.574 9.574 3.140
angles (deg): 90.00 90.00 90.00
Space group P4/mbm (No. 127)
Unique sites:
Ce 0.177 0.323 0.000 x4
Cu 0.000 0.000 0.000 x2
B 0.123 0.623 0.000 x4
Ru 0.000 0.500 0.500 x2
Ru 0.072 0.782 0.500 x8

## Properties
As for the calculated volume: 14.4 Å³/atom. The value obtained for the formation enthalpy at 0 K is -0.348 eV/atom. Its crystal system is tetragonal.

No. 7
First-principles (PBE-GGA) data for an optimized crystal structure of CeDyB4, as listed in the Alexandria database.

a b c (Å): 6.784 6.784 6.784
angles (deg): 90.00 90.00 90.00
Space group F-43m (No. 216)
Unique sites:
Ce 0.000 0.000 0.000 x4
Dy 0.250 0.250 0.750 x4
B 0.158 0.158 0.342 x16

## Properties
As for the calculated volume: 13.0 Å³/atom. The value obtained for the formation enthalpy at 0 K is 0.270 eV/atom. Its crystal system is cubic.

No. 8
First-principles (PBE-GGA) data for an optimized crystal structure of CeDyB12, as listed in the Alexandria database.

a b c (Å): 4.106 4.106 8.215
angles (deg): 90.00 90.00 90.00
Space group P4/mmm (No. 123)
Unique sites:
Ce 0.000 0.000 0.000 x1
Dy 0.000 0.000 0.500 x1
B 0.199 0.500 0.251 x8
B 0.500 0.500 0.100 x2
B 0.500 0.500 0.401 x2

## Properties
As for the calculated volume: 9.9 Å³/atom. The value obtained for the formation enthalpy at 0 K is -0.457 eV/atom. Its crystal system is tetragonal.